1.
Na2Tl3ReO6: relaxed, GGA-PBE.

Computed properties:
DFT total energy: -5.61 eV/atom

abc: 6.064 6.064 6.325
angles: 97.33 97.33 120.63
Atoms (fractional coordinates):
1 Na 0.329 0.671 0.000
2 Na 0.671 0.329 0.000
3 Tl 0.169 0.831 0.500
4 Tl 0.831 0.169 0.500
5 Tl 0.500 0.500 0.500
6 Re 0.000 0.000 0.000
7 O 0.936 0.680 0.834
8 O 0.810 0.810 0.210
9 O 0.064 0.320 0.166
10 O 0.680 0.936 0.834
11 O 0.190 0.190 0.790
12 O 0.320 0.064 0.166

***

2.
LiCe4Ge4: relaxed, GGA-PBE.

Computed properties:
E_form: -670 meV per atom

abc: 7.305 8.018 14.908
angles: 90.00 90.00 90.00
Last column: magnetic moment on the atom in μB.
Atoms (fractional coordinates):
1 Ge 0.669 0.031 0.535  -0.02
2 Ge 0.169 0.469 0.965  -0.02
3 Ge 0.331 0.969 0.035  -0.02
4 Ge 0.831 0.531 0.465  -0.02
5 Ge 0.331 0.969 0.465  -0.02
6 Ge 0.831 0.531 0.035  -0.02
7 Ge 0.669 0.031 0.965  -0.02
8 Ge 0.169 0.469 0.535  -0.02
9 Ge 0.517 0.431 0.750  -0.02
10 Ge 0.017 0.069 0.750  -0.02
11 Ge 0.483 0.569 0.250  -0.02
12 Ge 0.983 0.931 0.250  -0.02
13 Ge 0.787 0.638 0.750  -0.02
14 Ge 0.287 0.862 0.750  -0.02
15 Ge 0.213 0.362 0.250  -0.02
16 Ge 0.713 0.138 0.250  -0.02
17 Ce 0.510 0.314 0.095  0.80
18 Ce 0.010 0.186 0.405  0.80
19 Ce 0.490 0.686 0.595  0.80
20 Ce 0.990 0.814 0.905  0.80
21 Ce 0.490 0.686 0.905  0.80
22 Ce 0.990 0.814 0.595  0.80
23 Ce 0.510 0.314 0.405  0.80
24 Ce 0.010 0.186 0.095  0.80
25 Ce 0.831 0.319 0.631  0.76
26 Ce 0.331 0.181 0.869  0.76
27 Ce 0.169 0.681 0.131  0.76
28 Ce 0.669 0.819 0.369  0.76
29 Ce 0.169 0.681 0.369  0.76
30 Ce 0.669 0.819 0.131  0.76
31 Ce 0.831 0.319 0.869  0.76
32 Ce 0.331 0.181 0.631  0.76
33 Li 0.666 0.961 0.750  0.00
34 Li 0.166 0.539 0.750  0.00
35 Li 0.334 0.039 0.250  0.00
36 Li 0.834 0.461 0.250  0.00

***

3.
TlSbAu: relaxed, GGA-PBE.

Computed properties:
energy above the lowest structure with this stoichiometry: 165 meV per atom

abc: 7.037 7.037 7.037
angles: 151.43 151.43 40.85
Atoms (fractional coordinates):
1 Au 0.016 0.016 0.000
2 Sb 0.634 0.634 0.000
3 Tl 0.350 0.350 0.000